Record 1
VASP calculation (GGA-PBE) on an optimized crystal structure of In2HgPdPb.

Cell lengths 5.1846, 5.1846, 5.5021 Å; angles 90.00, 90.00, 90.00 degrees
With the nearest neighbours (Å) after each atom.
Sites, in units of the cell vectors:
Pd  0.0000  0.0000  0.0000  4 In 2.59, 2 Pb 2.75
Hg  0.5000  0.5000  0.5000  4 Pb 3.67, 8 In 3.78
Pb  0.0000  0.0000  0.5000  2 Pd 2.75
In  0.0000  0.5000  0.0000  2 Pd 2.59
In  0.5000  0.0000  0.0000  2 Pd 2.59

Summary:
ΔH_f (0 K) in eV per atom: -0.05
D(E_F) in states/eV per cell: 3.590
Volume in Å³/cell: 148
E in eV per atom: -2.982

Record 2
VASP calculation (GGA-PBE) on an optimized crystal structure of Pm2InHg4Pb2.

Cell lengths 7.3419, 7.3419, 7.3419 Å; angles 83.46, 123.85, 123.85 degrees
With the nearest neighbours (Å) after each atom.
Sites, in units of the cell vectors:
Hg  0.4376  0.7188  0.7188  1 In 2.75, 2 Hg 3.02
Hg  0.0000  0.7188  0.2812  1 In 2.75, 2 Hg 3.02
Hg  0.5624  0.2812  0.2812  1 In 2.75, 2 Hg 3.02
Hg  0.0000  0.2812  0.7188  1 In 2.75, 2 Hg 3.02
Pb  0.5000  0.2500  0.7500  4 Pm 3.47, 8 Hg 3.68
Pb  0.5000  0.7500  0.2500  4 Pm 3.47, 8 Hg 3.68
Pm  0.0000  0.7181  0.7181  1 In 3.09, 4 Hg 3.21
Pm  0.0000  0.2819  0.2819  1 In 3.09, 4 Hg 3.21
In  0.0000  0.0000  0.0000  4 Hg 2.75

Summary:
ΔH_f (0 K) in eV per atom: -0.14
D(E_F) in states/eV per cell: 6.089
Volume in Å³/cell: 262
E in eV per atom: -2.461

Record 3
VASP calculation (GGA-PBE) on an optimized crystal structure of PmIn3Hg4Pb2.

Cell lengths 4.5360, 4.5360, 14.2454 Å; angles 90.00, 90.00, 90.00 degrees
With the nearest neighbours (Å) after each atom.
Sites, in units of the cell vectors:
Pb  0.5000  0.0000  0.2812  4 Hg 3.35, 4 In 3.72
Pb  0.0000  0.5000  0.7188  4 Hg 3.35, 4 In 3.72
Hg  0.5000  0.0000  0.6509  3 In 2.85-3.13, 2 Pm 3.13
Hg  0.5000  0.5000  0.0000  4 In 3.11, 4 Hg 3.21
Hg  0.0000  0.0000  0.0000  4 In 3.11, 4 Hg 3.21
Hg  0.0000  0.5000  0.3491  3 In 2.85-3.13, 2 Pm 3.13
In  0.0000  0.5000  0.1489  5 Hg 2.85-3.11
In  0.0000  0.0000  0.5000  4 Hg 3.13, 4 Pm 3.21
In  0.5000  0.0000  0.8511  5 Hg 2.85-3.11
Pm  0.5000  0.5000  0.5000  4 Hg 3.13, 4 In 3.21

Summary:
ΔH_f (0 K) in eV per atom: -0.04
D(E_F) in states/eV per cell: 6.331
Volume in Å³/cell: 293
E in eV per atom: -2.203

Record 4
VASP calculation (GGA-PBE) on an optimized crystal structure of PrIn3Hg4Pb2.

Cell lengths 4.5770, 4.5770, 14.1840 Å; angles 90.00, 90.00, 90.00 degrees
With the nearest neighbours (Å) after each atom.
Sites, in units of the cell vectors:
Hg  0.5000  0.0000  0.6532  3 In 2.84-3.16, 2 Pr 3.16
Hg  0.0000  0.5000  0.3468  3 In 2.84-3.16, 2 Pr 3.16
Hg  0.5000  0.5000  0.0000  4 In 3.09, 4 Hg 3.24
Hg  0.0000  0.0000  0.0000  4 In 3.09, 4 Hg 3.24
Pb  0.0000  0.5000  0.7201  4 Hg 3.37, 4 In 3.75
Pb  0.5000  0.0000  0.2799  4 Hg 3.37, 4 In 3.75
In  0.5000  0.0000  0.8535  5 Hg 2.84-3.09
In  0.0000  0.0000  0.5000  4 Hg 3.16, 4 Pr 3.24
In  0.0000  0.5000  0.1465  5 Hg 2.84-3.09
Pr  0.5000  0.5000  0.5000  4 Hg 3.16, 4 In 3.24

Summary:
ΔH_f (0 K) in eV per atom: -0.04
D(E_F) in states/eV per cell: 6.744
Volume in Å³/cell: 297
E in eV per atom: -2.204

Record 5
VASP calculation (GGA-PBE) on an optimized crystal structure of Pr2In3Hg6Pb.

Cell lengths 4.5475, 4.5475, 19.7529 Å; angles 90.00, 90.00, 90.00 degrees
With the nearest neighbours (Å) after each atom.
Sites, in units of the cell vectors:
Pr  0.5000  0.5000  0.2537  4 In 3.27, 4 Hg 3.44
Pr  0.5000  0.5000  0.7463  4 In 3.27, 4 Hg 3.44
In  0.0000  0.0000  0.7174  5 Hg 2.80-3.04
In  0.0000  0.0000  0.0000  2 Hg 2.78
In  0.0000  0.0000  0.2826  5 Hg 2.80-3.04
Hg  0.0000  0.5000  0.3845  2 In 3.04, 4 Hg 3.22, 2 Pb 3.22
Hg  0.0000  0.5000  0.6155  2 In 3.04, 4 Hg 3.22, 2 Pb 3.22
Hg  0.5000  0.0000  0.3845  2 In 3.04, 4 Hg 3.22, 2 Pb 3.22
Hg  0.0000  0.0000  0.1409  2 In 2.78-2.80
Hg  0.0000  0.0000  0.8591  2 In 2.78-2.80
Hg  0.5000  0.0000  0.6155  2 In 3.04, 4 Hg 3.22, 2 Pb 3.22
Pb  0.5000  0.5000  0.5000  8 Hg 3.22

Summary:
ΔH_f (0 K) in eV per atom: 0.02
D(E_F) in states/eV per cell: 9.076
Volume in Å³/cell: 408
E in eV per atom: -1.921

Record 6
VASP calculation (GGA-PBE) on an optimized crystal structure of Pr2InHg4Pb2.

Cell lengths 7.4102, 7.4102, 7.4102 Å; angles 82.92, 124.17, 124.17 degrees
With the nearest neighbours (Å) after each atom.
Sites, in units of the cell vectors:
Hg  0.5617  0.2808  0.2808  1 In 2.76, 2 Hg 3.04
Hg  0.4383  0.7192  0.7192  1 In 2.76, 2 Hg 3.04
Hg  0.0000  0.2808  0.7192  1 In 2.76, 2 Hg 3.04
Hg  0.0000  0.7192  0.2808  1 In 2.76, 2 Hg 3.04
Pr  0.0000  0.7187  0.7187  1 In 3.12, 4 Hg 3.24, 4 Pb 3.49
Pr  0.0000  0.2813  0.2813  1 In 3.12, 4 Hg 3.24, 4 Pb 3.49
In  0.0000  0.0000  0.0000  4 Hg 2.76
Pb  0.5000  0.2500  0.7500  4 Pr 3.49, 8 Hg 3.72
Pb  0.5000  0.7500  0.2500  4 Pr 3.49, 8 Hg 3.72

Summary:
ΔH_f (0 K) in eV per atom: -0.16
D(E_F) in states/eV per cell: 6.262
Volume in Å³/cell: 267
E in eV per atom: -2.481

Record 7
VASP calculation (GGA-PBE) on an optimized crystal structure of Pr2In2Hg4Pb.

Cell lengths 7.3925, 7.3925, 7.3925 Å; angles 86.88, 121.82, 121.82 degrees
With the nearest neighbours (Å) after each atom.
Sites, in units of the cell vectors:
Hg  0.0000  0.7199  0.2801  1 Pb 2.85, 2 Hg 3.16, 2 Pr 3.17
Hg  0.0000  0.2801  0.7199  1 Pb 2.85, 2 Hg 3.16, 2 Pr 3.17
Hg  0.5603  0.2801  0.2801  1 Pb 2.85, 2 Hg 3.16, 2 Pr 3.17
Hg  0.4397  0.7199  0.7199  1 Pb 2.85, 2 Hg 3.16, 2 Pr 3.17
Pr  0.0000  0.2910  0.2910  1 Pb 3.12, 4 Hg 3.17
Pr  0.0000  0.7090  0.7090  1 Pb 3.12, 4 Hg 3.17
In  0.5000  0.7500  0.2500  4 Pr 3.62, 8 Hg 3.71
In  0.5000  0.2500  0.7500  4 Pr 3.62, 8 Hg 3.71
Pb  0.0000  0.0000  0.0000  4 Hg 2.85, 2 Pr 3.12

Summary:
ΔH_f (0 K) in eV per atom: -0.10
D(E_F) in states/eV per cell: 4.591
Volume in Å³/cell: 277
E in eV per atom: -2.320

Record 8
VASP calculation (GGA-PBE) on an optimized crystal structure of RbIn2Hg2Pb.

Cell lengths 5.0725, 5.0725, 9.1507 Å; angles 90.00, 90.00, 120.00 degrees
With the nearest neighbours (Å) after each atom.
Sites, in units of the cell vectors:
In  0.6667  0.3333  0.3500  3 Hg 3.09, 3 Pb 3.23
In  0.3333  0.6667  0.6500  3 Hg 3.09, 3 Pb 3.23
Pb  0.0000  0.0000  0.5000  6 In 3.23
Rb  0.0000  0.0000  0.0000  6 Hg 3.67
Hg  0.3333  0.6667  0.2415  3 In 3.09
Hg  0.6667  0.3333  0.7585  3 In 3.09

Summary:
ΔH_f (0 K) in eV per atom: -0.12
D(E_F) in states/eV per cell: 1.258
Volume in Å³/cell: 204
E in eV per atom: -1.917

Record 9
VASP calculation (GGA-PBE) on an optimized crystal structure of Rb2InHgPb6.

Cell lengths 7.1795, 7.1795, 17.0774 Å; angles 77.87, 77.87, 60.00 degrees
With the nearest neighbours (Å) after each atom.
Sites, in units of the cell vectors:
Rb  0.2888  0.2888  0.1336  1 Hg 3.39
Rb  0.8529  0.8529  0.4412  12 Pb 3.88-4.25, 3 In 4.26
Rb  0.1471  0.1471  0.5588  12 Pb 3.88-4.25, 3 In 4.26
Rb  0.7112  0.7112  0.8664  1 Hg 3.39
Pb  0.6210  0.6210  0.6478  4 Pb 3.20-3.51, 1 In 3.24
Pb  0.3790  0.8898  0.3522  4 Pb 3.20-3.51, 1 In 3.24
Pb  0.2225  0.2225  0.7889  4 Pb 3.20-3.28, 1 Hg 3.24
Pb  0.2338  0.7775  0.2112  4 Pb 3.20-3.28, 1 Hg 3.24
Pb  0.8898  0.3790  0.3522  4 Pb 3.20-3.51, 1 In 3.24
Pb  0.7775  0.7775  0.2112  4 Pb 3.20-3.28, 1 Hg 3.24
Pb  0.1102  0.6210  0.6478  4 Pb 3.20-3.51, 1 In 3.24
Pb  0.3790  0.3790  0.3522  4 Pb 3.20-3.51, 1 In 3.24
Pb  0.6210  0.1102  0.6478  4 Pb 3.20-3.51, 1 In 3.24
Pb  0.7775  0.2338  0.2112  4 Pb 3.20-3.28, 1 Hg 3.24
Pb  0.2225  0.7662  0.7889  4 Pb 3.20-3.28, 1 Hg 3.24
Pb  0.7662  0.2225  0.7889  4 Pb 3.20-3.28, 1 Hg 3.24
In  0.5000  0.5000  0.5000  6 Pb 3.24
In  0.0000  0.0000  0.0000  6 Pb 3.98, 6 Hg 4.31
Hg  0.3570  0.3570  0.9289  3 Pb 3.24, 1 Rb 3.39
Hg  0.6430  0.6430  0.0711  3 Pb 3.24, 1 Rb 3.39

Summary:
ΔH_f (0 K) in eV per atom: -0.04
D(E_F) in states/eV per cell: 9.067
Volume in Å³/cell: 740
E in eV per atom: -2.758

Record 10
VASP calculation (GGA-PBE) on an optimized crystal structure of Rb2In3Hg4Pb.

Cell lengths 5.0672, 5.0672, 12.7028 Å; angles 90.00, 90.00, 90.00 degrees
With the nearest neighbours (Å) after each atom.
Sites, in units of the cell vectors:
Rb  0.0000  0.5000  0.7550  8 Hg 3.85-4.01, 6 In 3.90-4.11, 2 Pb 4.11
Rb  0.5000  0.0000  0.2450  8 Hg 3.85-4.01, 6 In 3.90-4.11, 2 Pb 4.11
In  0.5000  0.0000  0.8752  5 Hg 2.93-2.99
In  0.0000  0.5000  0.1248  5 Hg 2.93-2.99
In  0.0000  0.0000  0.5000  4 Hg 3.13
Hg  0.0000  0.5000  0.3555  3 In 2.93-3.13, 2 Pb 3.13
Hg  0.5000  0.5000  0.0000  4 In 2.99
Hg  0.5000  0.0000  0.6445  3 In 2.93-3.13, 2 Pb 3.13
Hg  0.0000  0.0000  0.0000  4 In 2.99
Pb  0.5000  0.5000  0.5000  4 Hg 3.13

Summary:
ΔH_f (0 K) in eV per atom: -0.13
D(E_F) in states/eV per cell: 4.648
Volume in Å³/cell: 326
E in eV per atom: -1.638